1.
The following is a DFT calculation (GGA-PBE) of an optimized crystal structure of Pu4Cl5F.

The value obtained for the density of states at the Fermi level is 74.82 states/eV/cell. As for the magnetization: 51.55 μB per cell. As for the crystal system: orthorhombic. The formation energy without anion corrections comes out at -1.65 eV per atom.

The structure belongs to space group Pmmn (No. 59, origin choice 2); the cell edges are 8.8511, 9.0582 and 6.4042 Å and the angles 90.00°, 90.00° and 90.00°. Symmetry generates all atoms from Pu at (0.0455, 0.2500, 0.1205), Pu at (0.2500, 0.0591, 0.5562), Cl at (0.0452, 0.5556, 0.2423), Cl at (0.2500, 0.7500, 0.6957) and F at (0.2500, 0.2500, 0.8450).

---

2.
The following is a DFT calculation (GGA-PBE) of an optimized crystal structure of YBeTl.

The value obtained for the density of states at the Fermi level is 8.37 states/eV/cell. The formation energy from the elements comes out at 2.419 eV per formula unit. As for the magnetization: 0.00 μB per cell. As for the crystal system: hexagonal. The excess energy over the best structure of this formula in the dataset is 0.925 eV per atom.

The structure belongs to space group P6_3/mmc (No. 194); the cell edges are 4.0976, 4.0976 and 11.8889 Å and the angles 90.00°, 90.00° and 120.00°. Symmetry generates all atoms from Y at (0.0000, 0.0000, 0.0000), Be at (0.3333, 0.6667, 0.2500) and Tl at (0.0000, 0.0000, 0.2500).

---

3.
The following is a DFT calculation (GGA-PBE) of an optimized crystal structure of Dy7Y2Tm4.

The value obtained for the density of states at the Fermi level is 37.36 states/eV/cell. The formation energy from the elements comes out at 1.971 eV per formula unit. As for the magnetization: 0.00 μB per cell. As for the crystal system: monoclinic.

The structure belongs to space group C2/m (No. 12); the cell edges are 6.2984, 11.3074 and 11.7002 Å and the angles 90.00°, 94.35° and 90.00°. Symmetry generates all atoms from Dy at (0.0000, 0.0000, 0.0000), Dy at (0.1856, 0.5000, 0.2594), Dy at (0.1971, 0.1819, 0.2352), Y at (0.0000, 0.3369, 0.0000), Tm at (0.0000, 0.2702, 0.5000) and Tm at (0.2140, 0.0000, 0.4439).

---

4.
The following is a DFT calculation (GGA-PBE) of an optimized crystal structure of CePr2Sn.

The value obtained for the density of states at the Fermi level is 7.77 states/eV/cell. The formation energy from the elements comes out at -1.197 eV per formula unit. As for the magnetization: 1.39 μB per cell. As for the crystal system: tetragonal. The excess energy over the best structure of this formula in the dataset is 0.105 eV per atom.

The structure belongs to space group P4/mmm (No. 123); the cell edges are 4.1770, 4.1770 and 7.0672 Å and the angles 90.00°, 90.00° and 90.00°. Symmetry generates all atoms from Ce at (0.0000, 0.0000, 0.0000), Pr at (0.5000, 0.5000, 0.2716) and Sn at (0.0000, 0.0000, 0.5000).

---

5.
The following is a DFT calculation (GGA-PBE) of an optimized crystal structure of BPtSN2.

The value obtained for the density of states at the Fermi level is 1.72 states/eV/cell. As for the magnetization: 0.00 μB per cell. As for the crystal system: tetragonal. The formation energy without anion corrections comes out at 1.85 eV per atom. The excess energy over the best structure of this formula in the dataset is 0.779 eV per atom.

The structure belongs to space group P4/mmm (No. 123); the cell edges are 3.6430, 3.6430 and 8.7413 Å and the angles 90.00°, 90.00° and 90.00°. Symmetry generates all atoms from B at (0.0000, 0.0000, 0.0000), Pt at (0.5000, 0.5000, 0.5000), S at (0.5000, 0.5000, 0.0000) and N at (0.0000, 0.5000, 0.5000).

---

6.
The following is a DFT calculation (GGA-PBE) of an optimized crystal structure of LaTaCo2.

The value obtained for the density of states at the Fermi level is 2.59 states/eV/cell. The formation energy from the elements comes out at 0.231 eV per formula unit. As for the magnetization: 0.00 μB per cell. As for the crystal system: monoclinic. The excess energy over the best structure of this formula in the dataset is 0.134 eV per atom.

The structure belongs to space group Pm (No. 6); the cell edges are 3.2788, 4.1612 and 5.4860 Å and the angles 90.00°, 107.20° and 90.00°. Symmetry generates all atoms from La at (0.0000, 0.0000, 0.0000), Ta at (0.7316, 0.5000, 0.4604), Co at (0.2592, 0.0000, 0.5129) and Co at (0.4080, 0.5000, 0.8151).

---

7.
The following is a DFT calculation (GGA-PBE) of an optimized crystal structure of KZrTl2.

The value obtained for the density of states at the Fermi level is 6.76 states/eV/cell. The formation energy from the elements comes out at 0.673 eV per formula unit. As for the magnetization: 0.00 μB per cell. As for the crystal system: monoclinic. The excess energy over the best structure of this formula in the dataset is 0.132 eV per atom.

The structure belongs to space group C2/m (No. 12); the cell edges are 9.7706, 3.2403 and 7.9240 Å and the angles 90.00°, 95.50° and 90.00°. Symmetry generates all atoms from K at (0.0000, 0.0000, 0.0000), Zr at (0.0000, 0.5000, 0.5000) and Tl at (0.2466, 0.0000, 0.6927).

---

8.
The following is a DFT calculation (GGA-PBE) of an optimized crystal structure of CaMn2Ru.

The value obtained for the density of states at the Fermi level is 22.90 states/eV/cell. The formation energy from the elements comes out at 3.035 eV per formula unit. As for the magnetization: 0.00 μB per cell. As for the crystal system: cubic. The excess energy over the best structure of this formula in the dataset is 0.439 eV per atom.

The structure belongs to space group Fm-3m (No. 225); the cell edges are 6.1373, 6.1373 and 6.1373 Å and the angles 90.00°, 90.00° and 90.00°. Symmetry generates all atoms from Ca at (0.0000, 0.0000, 0.0000), Mn at (0.2500, 0.2500, 0.2500) and Ru at (0.0000, 0.0000, 0.5000).

---

> Number 7 is which compound?

KZrTl2

---

> What is the density of states at the Fermi level in the third record?

37.36 states/eV/cell